VASP calculation (PBE-GGA) on crystalline NdYAg2Bi4 at its relaxed geometry.

Output
The total magnetization comes out at 0.0 μB per formula unit. Its space-group type is No. 99. As for the total energy: -4.63 eV per atom.

Cell lengths 4.5768, 4.5768, 10.4089 Å; angles 90.00, 90.00, 90.00 degrees
With the nearest neighbours (Å) after each atom.
Sites, in units of the cell vectors:
Ag 0.5000 0.0000 0.0036  4 Bi 3.00-3.01, 4 Ag 3.24
Ag 0.0000 0.5000 0.0036  4 Bi 3.00-3.01, 4 Ag 3.24
Bi 0.0000 0.0000 0.1898  4 Ag 3.00, 4 Y 3.30
Bi 0.5000 0.0000 0.4956  4 Bi 3.24, 2 Y 3.43, 2 Nd 3.47
Bi 0.0000 0.5000 0.4956  4 Bi 3.24, 2 Y 3.43, 2 Nd 3.47
Bi 0.5000 0.5000 0.8150  4 Ag 3.01, 4 Nd 3.31
Nd 0.0000 0.0000 0.7464  8 Bi 3.31-3.47, 4 Ag 3.52
Y 0.5000 0.5000 0.2504  8 Bi 3.30-3.43, 4 Ag 3.44

=====

VASP calculation (PBE-GGA) on crystalline Ni3AgBi5 at its relaxed geometry.

Output
The total magnetization comes out at 0.0 μB per formula unit. Its space-group type is No. 191. As for the total energy: -4.34 eV per atom.

Cell lengths 5.4983, 5.4983, 8.1163 Å; angles 90.00, 90.00, 120.00 degrees
With the nearest neighbours (Å) after each atom.
Sites, in units of the cell vectors:
Ag 0.0000 0.0000 0.0000  14 Bi 3.64-4.06
Bi 0.6667 0.3333 0.2194  3 Ni 2.78
Bi 0.3333 0.6667 0.2194  3 Ni 2.78
Bi 0.0000 0.0000 0.5000  6 Ni 2.75
Bi 0.6667 0.3333 0.7806  3 Ni 2.78
Bi 0.3333 0.6667 0.7806  3 Ni 2.78
Ni 0.5000 0.0000 0.5000  4 Ni 2.75, 6 Bi 2.75-2.78
Ni 0.0000 0.5000 0.5000  6 Bi 2.75-2.78, 4 Ni 2.75
Ni 0.5000 0.5000 0.5000  4 Ni 2.75, 6 Bi 2.75-2.78

=====

VASP calculation (PBE-GGA) on crystalline NiAgBiSe3 at its relaxed geometry.

Output
The total magnetization comes out at 0.0 μB per formula unit. Its space-group type is No. 19. As for the total energy: -4.03 eV per atom.

Cell lengths 5.1066, 8.2489, 13.7723 Å; angles 90.00, 90.00, 90.00 degrees
With the nearest neighbours (Å) after each atom.
Sites, in units of the cell vectors:
Ag 0.4671 0.6023 0.0503  4 Se 2.60-2.73
Ag 0.5329 0.1023 0.4497  4 Se 2.60-2.73
Ag 0.0329 0.3977 0.5503  4 Se 2.60-2.73
Ag 0.9671 0.8977 0.9497  4 Se 2.60-2.73
Bi 0.5769 0.1337 0.1409  3 Se 2.76-2.85
Bi 0.4231 0.6337 0.3591  3 Se 2.76-2.85
Bi 0.9231 0.8663 0.6408  3 Se 2.76-2.85
Bi 0.0769 0.3663 0.8591  3 Se 2.76-2.85
Ni 0.9806 0.3639 0.2436  4 Se 2.32-2.41
Ni 0.0194 0.8639 0.2564  4 Se 2.32-2.41
Ni 0.5194 0.6361 0.7436  4 Se 2.32-2.41
Ni 0.4806 0.1361 0.7564  4 Se 2.32-2.41
Se 0.1850 0.3481 0.0901  1 Ni 2.36, 1 Ag 2.60
Se 0.2362 0.8717 0.1088  1 Ni 2.32
Se 0.7963 0.6204 0.2060  2 Ni 2.37-2.41
Se 0.2037 0.1204 0.2940  2 Ni 2.37-2.41
Se 0.7638 0.3717 0.3912  1 Ni 2.32
Se 0.8150 0.8481 0.4099  1 Ni 2.36, 1 Ag 2.60
Se 0.3150 0.6519 0.5901  1 Ni 2.36, 1 Ag 2.60
Se 0.2638 0.1283 0.6088  1 Ni 2.32
Se 0.7037 0.3796 0.7060  2 Ni 2.37-2.41
Se 0.2963 0.8796 0.7940  2 Ni 2.37-2.41
Se 0.7362 0.6283 0.8912  1 Ni 2.32
Se 0.6850 0.1519 0.9099  1 Ni 2.36, 1 Ag 2.60

=====

VASP calculation (PBE-GGA) on crystalline TaNiAgBi at its relaxed geometry.

Output
The total magnetization comes out at 0.0 μB per formula unit. Its space-group type is No. 216. As for the total energy: -5.51 eV per atom.

Cell lengths 4.7033, 4.7033, 4.7033 Å; angles 60.00, 60.00, 60.00 degrees
With the nearest neighbours (Å) after each atom.
Sites, in units of the cell vectors:
Ag 0.5000 0.5000 0.5000  4 Ni 2.88, 4 Ta 2.88
Bi 0.0000 0.0000 0.0000  4 Ta 2.88, 4 Ni 2.88
Ni 0.7500 0.7500 0.7500  4 Ag 2.88, 4 Bi 2.88
Ta 0.2500 0.2500 0.2500  4 Bi 2.88, 4 Ag 2.88

=====

VASP calculation (PBE-GGA) on crystalline AgBiO3 at its relaxed geometry.

Output
Its space-group type is No. 167. As for the total energy: -4.79 eV per atom.

Cell lengths 5.5814, 5.5814, 5.5814 Å; angles 63.71, 63.71, 63.71 degrees
With the nearest neighbours (Å) after each atom.
Sites, in units of the cell vectors:
Ag 0.0000 0.0000 0.0000  6 O 2.13
Ag 0.5000 0.5000 0.5000  6 O 2.13
Bi 0.2500 0.2500 0.2500  3 O 2.30
Bi 0.7500 0.7500 0.7500  3 O 2.30
O 0.7500 0.3595 0.1405  2 Ag 2.13, 1 Bi 2.30
O 0.6405 0.8595 0.2500  2 Ag 2.13, 1 Bi 2.30
O 0.1405 0.7500 0.3595  2 Ag 2.13, 1 Bi 2.30
O 0.8595 0.2500 0.6405  2 Ag 2.13, 1 Bi 2.30
O 0.3595 0.1405 0.7500  2 Ag 2.13, 1 Bi 2.30
O 0.2500 0.6405 0.8595  2 Ag 2.13, 1 Bi 2.30

=====

VASP calculation (PBE-GGA) on crystalline AgBiO3 at its relaxed geometry.

Output
Its space-group type is No. 99. As for the total energy: -4.72 eV per atom.

Cell lengths 4.1711, 4.1711, 4.2027 Å; angles 90.00, 90.00, 90.00 degrees
With the nearest neighbours (Å) after each atom.
Sites, in units of the cell vectors:
Ag 0.0000 0.0000 0.9815  4 O 2.53
Bi 0.5000 0.5000 0.5628  6 O 2.04-2.17
O 0.5000 0.5000 0.0782  2 Bi 2.04-2.17
O 0.5000 0.0000 0.6388  2 Bi 2.11
O 0.0000 0.5000 0.6388  2 Bi 2.11

=====

VASP calculation (PBE-GGA) on crystalline AgBiO6 at its relaxed geometry.

Output
Its space-group type is No. 216. As for the total energy: -3.86 eV per atom.

Cell lengths 5.2358, 5.2358, 5.2358 Å; angles 60.00, 60.00, 60.00 degrees
With the nearest neighbours (Å) after each atom.
Sites, in units of the cell vectors:
Ag 0.2500 0.2500 0.2500  6 O 1.99
Bi 0.0000 0.0000 0.0000  12 O 2.62
O 0.9807 0.5193 0.5193  1 Ag 1.99
O 0.5193 0.9807 0.5193  1 Ag 1.99
O 0.9807 0.9807 0.5193  1 Ag 1.99
O 0.5193 0.5193 0.9807  1 Ag 1.99
O 0.9807 0.5193 0.9807  1 Ag 1.99
O 0.5193 0.9807 0.9807  1 Ag 1.99

=====

VASP calculation (PBE-GGA) on crystalline Ag2BiO3 at its relaxed geometry.

Output
Its space-group type is No. 52. As for the total energy: -4.66 eV per atom.

Cell lengths 6.0525, 6.3026, 9.6576 Å; angles 90.00, 90.00, 90.00 degrees
With the nearest neighbours (Å) after each atom.
Sites, in units of the cell vectors:
Ag 0.0000 0.5000 0.0000  2 O 2.13
Ag 0.5000 0.5000 0.0000  2 O 2.13
Ag 0.7787 0.2500 0.2500  3 O 2.23-2.27
Ag 0.7213 0.7500 0.2500  3 O 2.23-2.27
Ag 0.0000 0.0000 0.5000  2 O 2.13
Ag 0.5000 0.0000 0.5000  2 O 2.13
Ag 0.2787 0.2500 0.7500  3 O 2.23-2.27
Ag 0.2213 0.7500 0.7500  3 O 2.23-2.27
Bi 0.2500 0.0000 0.1050  6 O 2.20-2.28
Bi 0.2500 0.5000 0.3950  6 O 2.20-2.28
Bi 0.7500 0.5000 0.6050  6 O 2.20-2.28
Bi 0.7500 0.0000 0.8950  6 O 2.20-2.28
O 0.5650 0.1823 0.0622  2 Ag 2.13-2.27, 2 Bi 2.26-2.28
O 0.9350 0.8177 0.0622  2 Ag 2.13-2.27, 2 Bi 2.26-2.28
O 0.1477 0.2500 0.2500  2 Bi 2.20, 1 Ag 2.23
O 0.3523 0.7500 0.2500  2 Bi 2.20, 1 Ag 2.23
O 0.5650 0.3177 0.4378  2 Ag 2.13-2.27, 2 Bi 2.26-2.28
O 0.9350 0.6823 0.4378  2 Ag 2.13-2.27, 2 Bi 2.26-2.28
O 0.0650 0.3177 0.5622  2 Ag 2.13-2.27, 2 Bi 2.26-2.28
O 0.4350 0.6823 0.5622  2 Ag 2.13-2.27, 2 Bi 2.26-2.28
O 0.6477 0.2500 0.7500  2 Bi 2.20, 1 Ag 2.23
O 0.8523 0.7500 0.7500  2 Bi 2.20, 1 Ag 2.23
O 0.0650 0.1823 0.9378  2 Ag 2.13-2.27, 2 Bi 2.26-2.28
O 0.4350 0.8177 0.9378  2 Ag 2.13-2.27, 2 Bi 2.26-2.28

=====

VASP calculation (PBE-GGA) on crystalline AgBiO3 at its relaxed geometry.

Output
Its space-group type is No. 62. As for the total energy: -4.90 eV per atom.

Cell lengths 5.7160, 5.8311, 8.1714 Å; angles 90.00, 90.00, 90.00 degrees
With the nearest neighbours (Å) after each atom.
Sites, in units of the cell vectors:
Ag 0.9919 0.0407 0.2500  4 O 2.27-2.51
Ag 0.5081 0.5407 0.2500  4 O 2.27-2.51
Ag 0.4919 0.4593 0.7500  4 O 2.27-2.51
Ag 0.0081 0.9593 0.7500  4 O 2.27-2.51
Bi 0.5000 0.0000 0.0000  6 O 2.15-2.18
Bi 0.0000 0.5000 0.0000  6 O 2.15-2.18
Bi 0.5000 0.0000 0.5000  6 O 2.15-2.18
Bi 0.0000 0.5000 0.5000  6 O 2.15-2.18
O 0.6900 0.3057 0.0647  2 Bi 2.15-2.17, 1 Ag 2.29
O 0.8100 0.8057 0.0647  2 Bi 2.15-2.17, 1 Ag 2.29
O 0.1211 0.4515 0.2500  2 Bi 2.18, 1 Ag 2.27
O 0.3789 0.9515 0.2500  2 Bi 2.18, 1 Ag 2.27
O 0.6900 0.3057 0.4353  2 Bi 2.15-2.17, 1 Ag 2.29
O 0.8100 0.8057 0.4353  2 Bi 2.15-2.17, 1 Ag 2.29
O 0.1900 0.1943 0.5647  2 Bi 2.15-2.17, 1 Ag 2.29
O 0.3100 0.6943 0.5647  2 Bi 2.15-2.17, 1 Ag 2.29
O 0.6211 0.0485 0.7500  2 Bi 2.18, 1 Ag 2.27
O 0.8789 0.5485 0.7500  2 Bi 2.18, 1 Ag 2.27
O 0.1900 0.1943 0.9353  2 Bi 2.15-2.17, 1 Ag 2.29
O 0.3100 0.6943 0.9353  2 Bi 2.15-2.17, 1 Ag 2.29

=====

VASP calculation (PBE-GGA) on crystalline AgBiO3 at its relaxed geometry.

Output
Its space-group type is No. 62. As for the total energy: -4.90 eV per atom.

Cell lengths 5.7797, 6.0501, 7.7188 Å; angles 90.00, 90.00, 90.00 degrees
With the nearest neighbours (Å) after each atom.
Sites, in units of the cell vectors:
Ag 0.5000 0.0000 0.0000  4 O 2.04-2.13
Ag 0.0000 0.5000 0.0000  4 O 2.04-2.13
Ag 0.5000 0.0000 0.5000  4 O 2.04-2.13
Ag 0.0000 0.5000 0.5000  4 O 2.04-2.13
Bi 0.9961 0.0490 0.2500  3 O 2.19-2.23
Bi 0.5039 0.5490 0.2500  3 O 2.19-2.23
Bi 0.4961 0.4510 0.7500  3 O 2.19-2.23
Bi 0.0039 0.9510 0.7500  3 O 2.19-2.23
O 0.6286 0.3071 0.0528  1 Ag 2.04, 1 Bi 2.23
O 0.8714 0.8071 0.0528  1 Ag 2.04, 1 Bi 2.23
O 0.1423 0.4398 0.2500  2 Ag 2.13, 1 Bi 2.19
O 0.3577 0.9398 0.2500  2 Ag 2.13, 1 Bi 2.19
O 0.6286 0.3071 0.4472  1 Ag 2.04, 1 Bi 2.23
O 0.8714 0.8071 0.4472  1 Ag 2.04, 1 Bi 2.23
O 0.1286 0.1929 0.5528  1 Ag 2.04, 1 Bi 2.23
O 0.3714 0.6929 0.5528  1 Ag 2.04, 1 Bi 2.23
O 0.6423 0.0602 0.7500  2 Ag 2.13, 1 Bi 2.19
O 0.8577 0.5602 0.7500  2 Ag 2.13, 1 Bi 2.19
O 0.1286 0.1929 0.9472  1 Ag 2.04, 1 Bi 2.23
O 0.3714 0.6929 0.9472  1 Ag 2.04, 1 Bi 2.23

=====

VASP calculation (PBE-GGA) on crystalline AgBiO3 at its relaxed geometry.

Output
Its space-group type is No. 99. As for the total energy: -4.71 eV per atom.

Cell lengths 4.0386, 4.0386, 4.3137 Å; angles 90.00, 90.00, 90.00 degrees
With the nearest neighbours (Å) after each atom.
Sites, in units of the cell vectors:
Ag 0.5000 0.5000 0.5640  6 O 2.05-2.20
Bi 0.0000 0.0000 0.9571  4 O 2.41
O 0.5000 0.5000 0.0743  2 Ag 2.11-2.20
O 0.5000 0.0000 0.6523  2 Ag 2.05
O 0.0000 0.5000 0.6523  2 Ag 2.05

=====

VASP calculation (PBE-GGA) on crystalline Ag5BiO4 at its relaxed geometry.

Output
Its space-group type is No. 14. As for the total energy: -4.18 eV per atom.

Cell lengths 5.8985, 9.0338, 12.4095 Å; angles 90.00, 91.44, 90.00 degrees
With the nearest neighbours (Å) after each atom.
Sites, in units of the cell vectors:
Ag 0.5000 0.0000 0.0000  2 O 2.17
Ag 0.0000 0.5000 0.0000  2 O 2.12
Ag 0.2471 0.7295 0.1224  2 O 2.11
Ag 0.7397 0.7320 0.1261  2 O 2.09-2.11
Ag 0.5357 0.3585 0.1411  2 O 2.19-2.20
Ag 0.5320 0.9907 0.2460  2 O 2.14-2.21
Ag 0.9680 0.4907 0.2540  2 O 2.14-2.21
Ag 0.9643 0.8585 0.3589  2 O 2.19-2.20
Ag 0.7603 0.2320 0.3739  2 O 2.09-2.11
Ag 0.2529 0.2295 0.3776  2 O 2.11
Ag 0.0000 0.5000 0.5000  2 O 2.17
Ag 0.5000 0.0000 0.5000  2 O 2.12
Ag 0.7471 0.7705 0.6224  2 O 2.11
Ag 0.2397 0.7680 0.6261  2 O 2.09-2.11
Ag 0.0357 0.1415 0.6411  2 O 2.19-2.20
Ag 0.0320 0.5093 0.7460  2 O 2.14-2.21
Ag 0.4680 0.0093 0.7540  2 O 2.14-2.21
Ag 0.4643 0.6415 0.8589  2 O 2.19-2.20
Ag 0.2603 0.2680 0.8739  2 O 2.09-2.11
Ag 0.7529 0.2705 0.8776  2 O 2.11
Bi 0.0445 0.1182 0.1244  5 O 2.18-2.40
Bi 0.4555 0.6182 0.3756  5 O 2.18-2.40
Bi 0.5445 0.3818 0.6244  5 O 2.18-2.40
Bi 0.9555 0.8818 0.8756  5 O 2.18-2.40
O 0.9883 0.8696 0.0620  2 Ag 2.09-2.11, 1 Bi 2.32
O 0.6750 0.1350 0.1209  3 Ag 2.17-2.21, 1 Bi 2.18
O 0.1072 0.3597 0.1282  2 Ag 2.12-2.14, 1 Bi 2.21
O 0.4970 0.5890 0.1918  3 Ag 2.11-2.19, 1 Bi 2.31
O 0.0030 0.0890 0.3082  3 Ag 2.11-2.19, 1 Bi 2.31
O 0.3928 0.8597 0.3718  2 Ag 2.12-2.14, 1 Bi 2.21
O 0.8250 0.6350 0.3791  3 Ag 2.17-2.21, 1 Bi 2.18
O 0.5117 0.3696 0.4380  2 Ag 2.09-2.11, 1 Bi 2.32
O 0.4883 0.6304 0.5620  2 Ag 2.09-2.11, 1 Bi 2.32
O 0.1750 0.3650 0.6209  3 Ag 2.17-2.21, 1 Bi 2.18
O 0.6072 0.1403 0.6282  2 Ag 2.12-2.14, 1 Bi 2.21
O 0.9970 0.9110 0.6918  3 Ag 2.11-2.19, 1 Bi 2.31
O 0.5030 0.4110 0.8082  3 Ag 2.11-2.19, 1 Bi 2.31
O 0.8928 0.6403 0.8718  2 Ag 2.12-2.14, 1 Bi 2.21
O 0.3250 0.8650 0.8791  3 Ag 2.17-2.21, 1 Bi 2.18
O 0.0117 0.1304 0.9380  2 Ag 2.09-2.11, 1 Bi 2.32